Density functional theory data (PBE-GGA) for a relaxed structure of Pr2Ni4Sb3Pd.

Summary:
The calculation puts the total DFT energy (no corrections) at -5.6576 eV per atom. The calculation puts the uncorrected formation energy at -0.633 eV/atom. The space-group type is P-4m2, No. 115.

Unit cell a=4.3443 b=4.3443 c=10.2879 alpha=90.00 beta=90.00 gamma=90.00
Closest atoms and distances in Å follow each position.
Fractional coordinates of all 10 atoms:
Ni 0.5000 0.5000 0.0000  4 Sb 2.55
Ni 0.0000 0.5000 0.3706  3 Sb 2.48-2.55, 2 Pd 2.55
Ni 0.5000 0.0000 0.6294  3 Sb 2.48-2.55, 2 Pd 2.55
Ni 0.0000 0.0000 0.0000  4 Sb 2.55
Sb 0.5000 0.0000 0.8704  5 Ni 2.48-2.55
Sb 0.0000 0.0000 0.5000  4 Ni 2.55
Sb 0.0000 0.5000 0.1296  5 Ni 2.48-2.55
Pr 0.5000 0.0000 0.2505  8 Ni 3.31-3.37, 6 Sb 3.31-3.36, 2 Pd 3.36
Pr 0.0000 0.5000 0.7495  8 Ni 3.31-3.37, 6 Sb 3.31-3.36, 2 Pd 3.36
Pd 0.5000 0.5000 0.5000  4 Ni 2.55